[1]
WSeCl4, optimized geometry, DFT PBE; crystal system = cubic; total magnetic moment = 0.759 μB/cell; energy = -2.5780 eV per atom
1.0
0.000 3.993 3.993
3.993 0.000 3.993
3.993 3.993 0.000
Cl Se W
4 1 1
direct
0.878 0.374 0.374
0.374 0.374 0.374
0.374 0.374 0.878
0.374 0.878 0.374
0.750 0.750 0.750
0.000 0.000 0.000


[2]
AlNiHg2, optimized geometry, DFT PBE; formation energy from the elements = 194 meV/atom; crystal system = tetragonal; total magnetic moment = 0.000 μB/cell
1.0
-0.606 -3.197 -1.323
2.269 0.647 -2.603
4.270 -2.132 3.194
Hg Ni Al
2 1 1
direct
0.000 0.000 0.492
0.000 0.000 0.008
0.500 0.500 0.250
0.500 0.500 0.750


[3]
ThOF, optimized geometry, DFT PBE; crystal system = orthorhombic; total magnetic moment = 1.513 μB/cell; energy = -8.1606 eV per atom
1.0
-2.944 -2.273 -1.536
3.922 -2.922 -3.192
0.948 -5.276 5.994
F O Th
4 4 4
direct
0.750 0.495 0.606
0.750 0.005 0.106
0.250 0.505 0.394
0.250 0.995 0.894
0.250 0.497 0.874
0.250 0.003 0.374
0.750 0.997 0.626
0.750 0.503 0.126
0.250 0.292 0.129
0.250 0.208 0.629
0.750 0.792 0.371
0.750 0.708 0.871